Entry 1
## La3Ir2 (GGA-PBEsol)

Data for a geometry-optimized La3Ir2 structure.

Cell: 10.7098 15.2463 6.1063 Å, 90.00 90.00 90.00°
Space group Fdd2 (No. 43)
Symmetry-distinct sites (fractional):
La 0.0000 0.0000 0.0000
La 0.0800 0.2912 0.7374
Ir 0.0572 0.3753 0.1669

Entry 2
## La3Ir2 (GGA-PBEsol)

Data for a geometry-optimized La3Ir2 structure.

Cell: 4.8725 4.8725 6.2970 Å, 90.00 90.00 120.00°
Space group P-3m1 (No. 164)
Symmetry-distinct sites (fractional):
La 0.0000 0.0000 0.0000
La 0.3333 0.6667 0.3381
Ir 0.3333 0.6667 0.8261

The structure with the greatest stability is entry 2.

Entry 1
## LiLaIr (GGA-PBEsol)

Data for a geometry-optimized LiLaIr structure.

Cell: 6.1646 6.1646 6.1646 Å, 90.00 90.00 90.00°
Space group F-43m (No. 216)
Symmetry-distinct sites (fractional):
Li 0.0000 0.0000 0.0000
La 0.2500 0.2500 0.2500
Ir 0.2500 0.2500 0.7500

Entry 2
## LiLaIr (GGA-PBEsol)

Data for a geometry-optimized LiLaIr structure.

Cell: 3.6492 3.6492 8.9712 Å, 90.00 90.00 90.00°
Space group I4mm (No. 107)
Symmetry-distinct sites (fractional):
Li 0.0000 0.0000 0.0000
La 0.0000 0.0000 0.7003
Ir 0.0000 0.0000 0.3548

The structure with the greatest stability is entry 2.

Entry 1
## LaMoIr2 (GGA-PBEsol)

Data for a geometry-optimized LaMoIr2 structure.

Cell: 2.9500 2.9500 8.0094 Å, 90.00 90.00 90.00°
Space group P4/mmm (No. 123)
Symmetry-distinct sites (fractional):
La 0.0000 0.0000 0.0000
Mo 0.0000 0.0000 0.5000
Ir 0.5000 0.5000 0.2914

Entry 2
## LaMoIr2 (GGA-PBEsol)

Data for a geometry-optimized LaMoIr2 structure.

Cell: 3.2396 3.2396 7.1221 Å, 90.00 90.00 90.00°
Space group P4mm (No. 99)
Symmetry-distinct sites (fractional):
La 0.0000 0.0000 0.0000
Mo 0.5000 0.5000 0.3426
Ir 0.0000 0.0000 0.4979
Ir 0.5000 0.5000 0.7248

The structure with the greatest stability is entry 1.